No. 1
meta-GGA SCAN AlGaPtAu2, single point on PBEsol structure; ΔE_f = 0.4783 eV per atom
1.0
4.7106 0.0000 0.0000
0.0000 4.7106 0.0000
0.0000 0.0000 4.6537
Al Ga Pt Au
1 1 1 2
Direct
0.0000 0.0000 0.0000
0.5000 0.5000 0.5000
0.5000 0.5000 0.0000
0.0000 0.5000 0.5000
0.5000 0.0000 0.5000

***

No. 2
meta-GGA SCAN AlGaSiAu2, single point on PBEsol structure; formation energy without anion corrections = 3.29 eV/f.u.
1.0
4.8045 0.0000 0.0000
0.0000 4.8045 0.0000
0.0000 0.0000 4.7111
Al Ga Si Au
1 1 1 2
Direct
0.0000 0.0000 0.0000
0.5000 0.5000 0.5000
0.5000 0.5000 0.0000
0.0000 0.5000 0.5000
0.5000 0.0000 0.5000

***

No. 3
meta-GGA SCAN AlGeH2Au, single point on PBEsol structure; raw total energy = -102.270 eV/cell
1.0
3.6110 0.0000 0.0000
0.0000 3.6110 0.0000
0.0000 0.0000 5.3047
Al Ge H Au
1 1 2 1
Direct
0.0000 0.0000 0.0000
0.5000 0.5000 0.5000
0.0000 0.5000 0.5000
0.5000 0.0000 0.5000
0.5000 0.5000 0.0000

***

No. 4
meta-GGA SCAN NdAl4Ge2Au, single point on PBEsol structure; ΔE_f = -0.5943 eV per atom
1.0
2.1097 1.2180 10.3845
-2.1097 1.2180 10.3845
0.0000 -2.4361 10.3845
Nd Al Ge Au
1 4 2 1
Direct
0.0000 0.0000 0.0000
0.1921 0.1921 0.1921
0.4171 0.4171 0.4171
0.5829 0.5829 0.5829
0.8079 0.8079 0.8079
0.2762 0.2762 0.2762
0.7238 0.7238 0.7238
0.5000 0.5000 0.5000

***

No. 5
meta-GGA SCAN AlGe2SbAu, single point on PBEsol structure; formation energy without anion corrections = 1.91 eV/f.u.
1.0
4.9814 0.0000 0.0000
0.0000 4.9814 0.0000
0.0000 0.0000 4.7971
Al Ge Sb Au
1 2 1 1
Direct
0.0000 0.0000 0.0000
0.0000 0.5000 0.5000
0.5000 0.0000 0.5000
0.5000 0.5000 0.0000
0.0000 0.0000 0.5000

***

No. 6
meta-GGA SCAN Al2HAuSe, single point on PBEsol structure; raw total energy = -107.658 eV/cell
1.0
4.9881 0.0000 0.0000
0.0000 4.9881 0.0000
0.0000 0.0000 3.1915
Al H Au Se
2 1 1 1
Direct
0.0000 0.5000 0.0000
0.5000 0.0000 0.0000
0.0000 0.0000 0.5000
0.5000 0.5000 0.5000
0.0000 0.0000 0.0000

***

No. 7
meta-GGA SCAN Hf2Al2Au, single point on PBEsol structure; ΔE_f = -0.6480 eV per atom
1.0
6.4953 0.0000 0.0000
0.0000 6.4953 0.0000
0.0000 0.0000 4.2469
Hf Al Au
4 4 2
Direct
0.1629 0.3371 0.0000
0.3371 0.8371 0.0000
0.6629 0.1629 0.0000
0.8371 0.6629 0.0000
0.1375 0.6375 0.5000
0.3625 0.1375 0.5000
0.6375 0.8625 0.5000
0.8625 0.3625 0.5000
0.0000 0.0000 0.5000
0.5000 0.5000 0.5000

***

No. 8
meta-GGA SCAN Hf3AlAu2, single point on PBEsol structure; ΔE_f = -0.6212 eV per atom
1.0
0.0000 6.0650 6.0650
6.0650 0.0000 6.0650
6.0650 6.0650 0.0000
Hf Al Au
12 4 8
Direct
0.0704 0.0704 0.6796
0.0704 0.6796 0.0704
0.0704 0.6796 0.6796
0.3204 0.3204 0.9296
0.3204 0.9296 0.3204
0.3204 0.9296 0.9296
0.6796 0.0704 0.0704
0.6796 0.0704 0.6796
0.6796 0.6796 0.0704
0.9296 0.3204 0.3204
0.9296 0.3204 0.9296
0.9296 0.9296 0.3204
0.0000 0.5000 0.5000
0.5000 0.0000 0.5000
0.5000 0.5000 0.0000
0.5000 0.5000 0.5000
0.2867 0.2867 0.2867
0.2867 0.2867 0.6399
0.2867 0.6399 0.2867
0.3601 0.7133 0.7133
0.6399 0.2867 0.2867
0.7133 0.3601 0.7133
0.7133 0.7133 0.3601
0.7133 0.7133 0.7133

***

Q: Number 8 is which compound?
A: Hf3AlAu2